Record 1
The following is a PBE calculation of SrCdInBi after structural relaxation, from the Alexandria database.

Computed properties:
* calculated density: 6.78 g/cm³
* energy of formation: -0.30 eV/atom

a b c (Å): 5.6616 5.6616 5.6616
angles (deg): 60.00 60.00 60.00
Atoms (fractional coordinates):
Sr (0.0000, 0.0000, 0.0000)
Cd (0.2500, 0.2500, 0.2500)
In (0.5000, 0.5000, 0.5000)
Bi (0.7500, 0.7500, 0.7500)

Record 2
The following is a PBE calculation of Sr3Cd5In2Bi2 after structural relaxation, from the Alexandria database.

Computed properties:
* calculated density: 6.77 g/cm³
* energy of formation: -0.28 eV/atom

a b c (Å): 16.3391 16.3391 16.3391
angles (deg): 163.27 163.27 23.74
Atoms (fractional coordinates):
Sr (0.0000, 0.0000, 0.0000)
Sr (0.1660, 0.1660, 0.0000)
Sr (0.8340, 0.8340, 0.0000)
Cd (0.0770, 0.5770, 0.5000)
Cd (0.4230, 0.9230, 0.5000)
Cd (0.5000, 0.5000, 0.0000)
Cd (0.5770, 0.0770, 0.5000)
Cd (0.9230, 0.4230, 0.5000)
In (0.3641, 0.3641, 0.0000)
In (0.6359, 0.6359, 0.0000)
Bi (0.2695, 0.2695, 0.0000)
Bi (0.7305, 0.7305, 0.0000)

Record 3
The following is a PBE calculation of Sr2Cd4In3Bi after structural relaxation, from the Alexandria database.

Computed properties:
* calculated density: 6.66 g/cm³
* energy of formation: -0.28 eV/atom

a b c (Å): 4.8495 4.8495 12.4890
angles (deg): 90.00 90.00 90.00
Atoms (fractional coordinates):
Sr (0.0000, 0.5000, 0.2379)
Sr (0.5000, 0.0000, 0.7621)
Cd (0.0000, 0.0000, 0.0000)
Cd (0.0000, 0.5000, 0.6466)
Cd (0.5000, 0.0000, 0.3534)
Cd (0.5000, 0.5000, 0.0000)
In (0.0000, 0.5000, 0.8681)
In (0.5000, 0.0000, 0.1319)
In (0.5000, 0.5000, 0.5000)
Bi (0.0000, 0.0000, 0.5000)

Record 4
The following is a PBE calculation of TaCdInBi2 after structural relaxation, from the Alexandria database.

Computed properties:
* calculated density: 7.87 g/cm³
* energy of formation: 1.33 eV/atom

a b c (Å): 5.7031 5.7031 5.3576
angles (deg): 90.00 90.00 90.00
Atoms (fractional coordinates):
Ta (0.0000, 0.0000, 0.0000)
Cd (0.5000, 0.5000, 0.0000)
In (0.0000, 0.0000, 0.5000)
Bi (0.0000, 0.5000, 0.5000)
Bi (0.5000, 0.0000, 0.5000)

Record 5
The following is a PBE calculation of Tl2CdInBi after structural relaxation, from the Alexandria database.

Computed properties:
* calculated density: 9.21 g/cm³
* energy of formation: 0.02 eV/atom

a b c (Å): 7.3324 5.0783 8.9589
angles (deg): 90.00 113.96 90.00
Atoms (fractional coordinates):
Tl (0.1678, 0.2500, 0.2008)
Tl (0.1908, 0.7500, 0.5814)
Tl (0.8092, 0.2500, 0.4186)
Tl (0.8322, 0.7500, 0.7992)
Cd (0.4802, 0.2500, 0.5863)
Cd (0.5198, 0.7500, 0.4137)
In (0.1392, 0.2500, 0.8104)
In (0.8608, 0.7500, 0.1896)
Bi (0.3596, 0.7500, 0.0385)
Bi (0.6404, 0.2500, 0.9615)

Record 6
The following is a PBE calculation of Tl2Cd2InBi2 after structural relaxation, from the Alexandria database.

Computed properties:
* calculated density: 9.18 g/cm³
* energy of formation: 0.04 eV/atom

a b c (Å): 9.2012 9.2012 9.2012
angles (deg): 33.47 33.47 33.47
Atoms (fractional coordinates):
Tl (0.1365, 0.1365, 0.1365)
Tl (0.8635, 0.8635, 0.8635)
Cd (0.4155, 0.4155, 0.4155)
Cd (0.5845, 0.5845, 0.5845)
In (0.0000, 0.0000, 0.0000)
Bi (0.2798, 0.2798, 0.2798)
Bi (0.7202, 0.7202, 0.7202)

Record 7
The following is a PBE calculation of TlCdIn3Bi after structural relaxation, from the Alexandria database.

Computed properties:
* calculated density: 8.39 g/cm³
* energy of formation: 0.03 eV/atom

a b c (Å): 7.9395 4.4944 10.3114
angles (deg): 90.00 110.60 90.00
Atoms (fractional coordinates):
Tl (0.0200, 0.2500, 0.1407)
Tl (0.9800, 0.7500, 0.8593)
Cd (0.0096, 0.7500, 0.3831)
Cd (0.9904, 0.2500, 0.6169)
In (0.3062, 0.7500, 0.6847)
In (0.3117, 0.2500, 0.9430)
In (0.3390, 0.2500, 0.4563)
In (0.6610, 0.7500, 0.5437)
In (0.6883, 0.7500, 0.0570)
In (0.6938, 0.2500, 0.3153)
Bi (0.3783, 0.7500, 0.1866)
Bi (0.6217, 0.2500, 0.8134)

Record 8
The following is a PBE calculation of TlCd2In2Bi2 after structural relaxation, from the Alexandria database.

Computed properties:
* calculated density: 8.77 g/cm³
* energy of formation: 0.06 eV/atom

a b c (Å): 8.5567 8.5567 8.5567
angles (deg): 37.05 37.05 37.05
Atoms (fractional coordinates):
Tl (0.0000, 0.0000, 0.0000)
Cd (0.4340, 0.4340, 0.4340)
Cd (0.5660, 0.5660, 0.5660)
In (0.1360, 0.1360, 0.1360)
In (0.8640, 0.8640, 0.8640)
Bi (0.2687, 0.2687, 0.2687)
Bi (0.7313, 0.7313, 0.7313)

Record 9
The following is a PBE calculation of TlCdIn2Bi after structural relaxation, from the Alexandria database.

Computed properties:
* calculated density: 7.87 g/cm³
* energy of formation: 0.05 eV/atom

a b c (Å): 7.6219 7.6219 6.6063
angles (deg): 90.00 90.00 123.87
Atoms (fractional coordinates):
Tl (0.2405, 0.7595, 0.7500)
Tl (0.7595, 0.2405, 0.2500)
Cd (0.1282, 0.8718, 0.2500)
Cd (0.8718, 0.1282, 0.7500)
In (0.2517, 0.2517, 0.0000)
In (0.2517, 0.2517, 0.5000)
In (0.7483, 0.7483, 0.0000)
In (0.7483, 0.7483, 0.5000)
Bi (0.3482, 0.6518, 0.2500)
Bi (0.6518, 0.3482, 0.7500)

Record 10
The following is a PBE calculation of Tl3Cd2In4Bi2 after structural relaxation, from the Alexandria database.

Computed properties:
* calculated density: 8.59 g/cm³
* energy of formation: 0.03 eV/atom

a b c (Å): 5.4147 5.4147 13.0537
angles (deg): 90.00 90.00 120.00
Atoms (fractional coordinates):
Tl (0.0000, 0.0000, 0.0000)
Tl (0.0000, 0.0000, 0.2852)
Tl (0.0000, 0.0000, 0.7148)
Cd (0.3333, 0.6667, 0.6352)
Cd (0.6667, 0.3333, 0.3648)
In (0.3333, 0.6667, 0.4066)
In (0.3333, 0.6667, 0.8880)
In (0.6667, 0.3333, 0.1120)
In (0.6667, 0.3333, 0.5934)
Bi (0.3333, 0.6667, 0.1502)
Bi (0.6667, 0.3333, 0.8498)

Record 11
The following is a PBE calculation of TlCdIn4Bi2 after structural relaxation, from the Alexandria database.

Computed properties:
* calculated density: 7.95 g/cm³
* energy of formation: 0.08 eV/atom

a b c (Å): 8.9079 8.9079 8.9079
angles (deg): 120.74 119.45 89.84
Atoms (fractional coordinates):
Tl (0.5000, 0.0000, 0.0000)
Tl (0.5000, 0.5000, 0.5000)
Cd (0.0000, 0.0000, 0.0000)
Cd (0.5000, 0.0000, 0.5000)
In (0.2417, 0.2488, 0.9929)
In (0.2442, 0.7512, 0.4929)
In (0.2464, 0.2413, 0.4949)
In (0.2464, 0.7515, 0.0051)
In (0.7536, 0.2485, 0.9949)
In (0.7536, 0.7587, 0.5051)
In (0.7558, 0.2488, 0.5071)
In (0.7583, 0.7512, 0.0071)
Bi (0.0000, 0.0000, 0.5000)
Bi (0.0000, 0.5000, 0.0000)
Bi (0.0000, 0.5000, 0.5000)
Bi (0.5000, 0.5000, 0.0000)

Record 12
The following is a PBE calculation of Tl2Cd2InBi after structural relaxation, from the Alexandria database.

Computed properties:
* calculated density: 8.96 g/cm³
* energy of formation: 0.04 eV/atom

a b c (Å): 9.8129 9.8129 9.8129
angles (deg): 141.67 54.75 142.44
Atoms (fractional coordinates):
Tl (0.1798, 0.1977, 0.3775)
Tl (0.3202, 0.6977, 0.0179)
Tl (0.6798, 0.3023, 0.9821)
Tl (0.8202, 0.8023, 0.6225)
Cd (0.1388, 0.7009, 0.8397)
Cd (0.3612, 0.2009, 0.5621)
Cd (0.6388, 0.7991, 0.4379)
Cd (0.8612, 0.2991, 0.1603)
In (0.2500, 0.7500, 0.5000)
In (0.7500, 0.2500, 0.5000)
Bi (0.2500, 0.2500, 0.0000)
Bi (0.7500, 0.7500, 0.0000)

Record 13
The following is a PBE calculation of Cd2InBiW after structural relaxation, from the Alexandria database.

Computed properties:
* calculated density: 6.44 g/cm³
* energy of formation: 1.70 eV/atom

a b c (Å): 5.7385 5.7385 5.7362
angles (deg): 90.00 90.00 90.00
Atoms (fractional coordinates):
Cd (0.0000, 0.5000, 0.0000)
Cd (0.5000, 0.0000, 0.0000)
In (0.0000, 0.0000, 0.5000)
Bi (0.0000, 0.0000, 0.0000)
W (0.5000, 0.5000, 0.5000)

Record 14
The following is a PBE calculation of ZrCd2InBi after structural relaxation, from the Alexandria database.

Computed properties:
* calculated density: 6.21 g/cm³
* energy of formation: 0.73 eV/atom

a b c (Å): 5.5339 5.5339 5.5836
angles (deg): 90.00 90.00 90.00
Atoms (fractional coordinates):
Zr (0.0000, 0.0000, 0.0000)
Cd (0.0000, 0.5000, 0.0000)
Cd (0.5000, 0.0000, 0.0000)
In (0.0000, 0.0000, 0.5000)
Bi (0.5000, 0.5000, 0.5000)

Record 15
The following is a PBE calculation of CdBi12Ir4 after structural relaxation, from the Alexandria database.

Computed properties:
* calculated density: 11.83 g/cm³
* energy of formation: -0.03 eV/atom

a b c (Å): 8.5168 8.5168 8.5168
angles (deg): 109.47 109.47 109.47
Atoms (fractional coordinates):
Cd (0.0000, 0.0000, 0.0000)
Bi (0.1573, 0.4925, 0.3351)
Bi (0.1573, 0.8222, 0.6649)
Bi (0.1778, 0.3351, 0.8427)
Bi (0.3351, 0.1573, 0.4925)
Bi (0.3351, 0.8427, 0.1778)
Bi (0.4925, 0.3351, 0.1573)
Bi (0.5075, 0.6649, 0.8427)
Bi (0.6649, 0.1573, 0.8222)
Bi (0.6649, 0.8427, 0.5075)
Bi (0.8222, 0.6649, 0.1573)
Bi (0.8427, 0.1778, 0.3351)
Bi (0.8427, 0.5075, 0.6649)
Ir (0.0000, 0.0000, 0.5000)
Ir (0.0000, 0.5000, 0.0000)
Ir (0.5000, 0.0000, 0.0000)
Ir (0.5000, 0.5000, 0.5000)

Record 16
The following is a PBE calculation of CdBiIr3 after structural relaxation, from the Alexandria database.

Computed properties:
* energy above the most stable polymorph in this dataset: 70 meV per atom
* calculated density: 12.77 g/cm³
* energy of formation: 1.91 eV/atom

a b c (Å): 4.8882 4.8882 4.8882
angles (deg): 90.00 90.00 90.00
Atoms (fractional coordinates):
Cd (0.0000, 0.0000, 0.0000)
Bi (0.5000, 0.5000, 0.5000)
Ir (0.0000, 0.0000, 0.5000)
Ir (0.0000, 0.5000, 0.0000)
Ir (0.5000, 0.0000, 0.0000)

Record 17
The following is a PBE calculation of CdBiIr after structural relaxation, from the Alexandria database.

Computed properties:
* energy above the most stable polymorph in this dataset: 0 meV per atom
* calculated density: 12.13 g/cm³
* energy of formation: 0.09 eV/atom

a b c (Å): 4.6330 4.6330 4.6330
angles (deg): 60.00 60.00 60.00
Atoms (fractional coordinates):
Cd (0.0000, 0.0000, 0.0000)
Bi (0.5000, 0.5000, 0.5000)
Ir (0.2500, 0.2500, 0.2500)

Record 18
The following is a PBE calculation of Cd2BiIr after structural relaxation, from the Alexandria database.

Computed properties:
* calculated density: 9.69 g/cm³
* energy of formation: 0.37 eV/atom

a b c (Å): 6.9535 6.9535 6.9535
angles (deg): 97.86 97.86 136.60
Atoms (fractional coordinates):
Cd (0.0268, 0.6250, 0.9018)
Cd (0.3750, 0.2768, 0.4018)
Cd (0.7232, 0.1250, 0.0982)
Cd (0.8750, 0.9732, 0.5982)
Bi (0.2500, 0.7500, 0.5000)
Bi (0.5000, 0.5000, 0.0000)
Ir (0.0000, 0.0000, 0.0000)
Ir (0.7500, 0.2500, 0.5000)

Record 19
The following is a PBE calculation of CdBiIr2 after structural relaxation, from the Alexandria database.

Computed properties:
* energy above the most stable polymorph in this dataset: 311 meV per atom
* calculated density: 14.37 g/cm³
* energy of formation: 0.71 eV/atom

a b c (Å): 6.0343 6.0343 6.0343
angles (deg): 103.68 103.68 121.80
Atoms (fractional coordinates):
Cd (0.0000, 0.0000, 0.0000)
Cd (0.7500, 0.2500, 0.5000)
Bi (0.2500, 0.7500, 0.5000)
Bi (0.5000, 0.5000, 0.0000)
Ir (0.1355, 0.6250, 0.0105)
Ir (0.3750, 0.3855, 0.5105)
Ir (0.6145, 0.1250, 0.9895)
Ir (0.8750, 0.8645, 0.4895)

Record 20
The following is a PBE calculation of CdBiIr3 after structural relaxation, from the Alexandria database.

Computed properties:
* energy above the most stable polymorph in this dataset: 0 meV per atom
* calculated density: 12.06 g/cm³
* energy of formation: 1.83 eV/atom

a b c (Å): 4.9818 4.9818 4.9818
angles (deg): 90.00 90.00 90.00
Atoms (fractional coordinates):
Cd (0.0000, 0.0000, 0.0000)
Bi (0.5000, 0.5000, 0.5000)
Ir (0.0000, 0.5000, 0.5000)
Ir (0.5000, 0.0000, 0.5000)
Ir (0.5000, 0.5000, 0.0000)